(1)
# MgB2As PBE relaxed
data_MgB2As
_cell_length_a 4.162
_cell_length_b 4.162
_cell_length_c 4.162
_cell_angle_alpha 60.00
_cell_angle_beta 60.00
_cell_angle_gamma 60.00
_space_group_name_H-M_alt 'P 1'
_space_group_IT_number 1
loop_
_space_group_symop_operation_xyz
'x,y,z'
loop_
_atom_site_label
_atom_site_type_symbol
_atom_site_fract_x
_atom_site_fract_y
_atom_site_fract_z
_atom_site_occupancy
As1 As 0.500 0.500 0.500 1
B1 B 0.250 0.250 0.250 1
B2 B 0.750 0.750 0.750 1
Mg1 Mg 0.000 0.000 0.000 1
# - Energy of formation from the pure elements: 1203 meV/atom

(2)
# TcMoOsW PBE relaxed
data_TcMoOsW
_cell_length_a 4.427
_cell_length_b 4.427
_cell_length_c 4.427
_cell_angle_alpha 60.00
_cell_angle_beta 60.00
_cell_angle_gamma 60.00
_space_group_name_H-M_alt 'P 1'
_space_group_IT_number 1
loop_
_space_group_symop_operation_xyz
'x,y,z'
loop_
_atom_site_label
_atom_site_type_symbol
_atom_site_fract_x
_atom_site_fract_y
_atom_site_fract_z
_atom_site_occupancy
Mo1 Mo 0.250 0.250 0.250 1
Os1 Os 0.500 0.500 0.500 1
Tc1 Tc 0.750 0.750 0.750 1
W1 W 0.000 0.000 0.000 1
# - Energy of formation from the pure elements: 253 meV/atom

(3)
# ScIr2Br PBE relaxed
data_ScIr2Br
_cell_length_a 4.391
_cell_length_b 4.391
_cell_length_c 7.510
_cell_angle_alpha 78.76
_cell_angle_beta 78.76
_cell_angle_gamma 49.27
_space_group_name_H-M_alt 'P 1'
_space_group_IT_number 1
loop_
_space_group_symop_operation_xyz
'x,y,z'
loop_
_atom_site_label
_atom_site_type_symbol
_atom_site_fract_x
_atom_site_fract_y
_atom_site_fract_z
_atom_site_occupancy
Br1 Br 0.080 0.080 0.304 1
Ir1 Ir 0.104 0.104 0.813 1
Ir2 Ir 0.807 0.807 0.810 1
Sc1 Sc 0.508 0.508 0.573 1
# - Formation energy from raw total energies: -301 meV per atom

| no. | total moment (Bohr magnetons per cell) |
| --- | --- |
| 1 | 0.00 |
| 2 | 0.00 |
| 3 | 0.00 |